(1)
Computed, not measured: Y3Tl3SnSe8 after structural relaxation at the GGA-PBE level of DFT.

Summary:
The mass density comes out at 5.81 g/cm3. The calculation puts the total DFT energy (no corrections) at -5.05 eV per atom. The symmetry is R-3m. The magnetization comes out at 0.000 μB/f.u.

Cell lengths 8.2643, 8.2647, 9.2072 Å; angles 116.68, 90.00, 120.00 degrees
Positions (direct):
Y  0.5000  0.0000  0.5000
Y  0.5000  0.5000  0.5000
Y  0.0000  0.5000  0.5000
Tl  0.0000  0.0000  0.0000
Tl  0.0000  0.5000  0.0000
Tl  0.5000  0.5000  0.0000
Sn  0.0000  0.0000  0.5000
Se  0.2651  0.5302  0.2955
Se  0.7349  0.4698  0.7045
Se  0.7730  0.5460  0.3008
Se  0.2270  0.4540  0.6992
Se  0.7729  0.0276  0.3008
Se  0.2271  0.9724  0.6992
Se  0.2548  0.0276  0.3008
Se  0.7452  0.9724  0.6992


(2)
Computed, not measured: La8Er4Sc after structural relaxation at the GGA-PBE level of DFT.

Summary:
Its energy of formation is 423 meV/atom. The mass density comes out at 6.15 g/cm3. The symmetry is R-3m. The magnetization comes out at 0.000 μB/f.u.

Cell lengths 11.2353, 11.2353, 7.8977 Å; angles 90.00, 135.34, 120.00 degrees
Positions (direct):
La  0.5184  0.7592  0.2776
La  0.4816  0.2408  0.7224
La  0.4806  0.2403  0.2321
La  0.0082  0.2485  0.7679
La  0.5194  0.7597  0.7679
La  0.0082  0.7597  0.7679
La  0.9918  0.2403  0.2321
La  0.9918  0.7515  0.2321
Er  0.0000  0.0000  0.0000
Er  0.0000  0.5000  0.0000
Er  0.5000  0.5000  0.0000
Er  0.5000  0.0000  0.0000
Sc  0.0000  0.5000  0.5000